The following is a DFT calculation (PBE) of an optimized crystal structure of Ca2AlTc.

```
4
Lattice="-1.758 4.712 1.449 -3.874 -2.272 2.688 1.991 -0.111 2.776" Properties=species:S:1:pos:R:3 pbc="T T T"
Tc 0.116 2.301 2.113
Ca -2.816 1.220 2.069
Ca 0.000 0.000 0.000
Al -0.942 -1.192 2.732
```

Summary:
Formation enthalpy at 0 K = 451 meV per atom
VASP energy = -16.31 eV for the cell shown

The following is a DFT calculation (PBE) of an optimized crystal structure of CaAlTc2.

```
4
Lattice="-9.208 -0.656 -1.339 -8.426 -3.339 -2.208 -8.878 -2.794 0.631" Properties=species:S:1:pos:R:3 pbc="T T T"
Al -6.628 -1.697 -0.729
Tc -13.496 -3.456 -1.484
Tc -26.272 -6.727 -2.890
Ca -19.884 -5.091 -2.187
```

Summary:
Formation enthalpy at 0 K = 393 meV per atom
VASP energy = -24.90 eV for the cell shown

The following is a DFT calculation (PBE) of an optimized crystal structure of CaAlTc2.

```
4
Lattice="4.416 0.000 0.000 0.000 3.942 0.000 0.000 0.000 3.942" Properties=species:S:1:pos:R:3 pbc="T T T"
Tc 0.000 1.971 1.971
Tc 0.000 0.000 0.000
Al 2.208 1.971 0.000
Ca 2.208 0.000 1.971
```

Summary:
Formation enthalpy at 0 K = 425 meV per atom
VASP energy = -24.78 eV for the cell shown

The following is a DFT calculation (PBE) of an optimized crystal structure of CaAlTc4.

```
6
Lattice="0.113 -1.986 4.863 -4.178 -2.567 1.887 0.213 -5.202 0.709" Properties=species:S:1:pos:R:3 pbc="T T T"
Tc -3.525 -4.941 3.741
Tc -1.341 -6.252 3.155
Tc -1.447 -3.665 2.802
Tc -1.391 -4.652 5.221
Al -2.889 -7.316 5.595
Ca 0.000 0.000 0.000
```

Summary:
Formation enthalpy at 0 K = 186 meV per atom
VASP energy = -46.09 eV for the cell shown

The following is a DFT calculation (PBE) of an optimized crystal structure of CaAlTc2.

```
4
Lattice="9.491 -0.008 -0.004 9.031 2.920 -0.004 9.031 1.420 2.551" Properties=species:S:1:pos:R:3 pbc="T T T"
Al 14.077 2.213 1.299
Ca 20.593 3.238 1.900
Tc 27.252 4.285 2.515
Tc 6.958 1.094 0.642
```

Summary:
Formation enthalpy at 0 K = 289 meV per atom
VASP energy = -25.32 eV for the cell shown

The following is a DFT calculation (PBE) of an optimized crystal structure of CaAlTc3.

```
5
Lattice="-0.836 4.487 -0.627 -4.439 -0.939 -0.798 -0.905 0.460 4.494" Properties=species:S:1:pos:R:3 pbc="T T T"
Tc -0.418 2.244 -0.314
Tc -0.453 0.230 2.247
Tc -2.220 -0.469 -0.399
Al -3.090 2.004 1.534
Ca 0.000 0.000 0.000
```

Summary:
Formation enthalpy at 0 K = 2377 meV per atom
VASP energy = -24.96 eV for the cell shown

The following is a DFT calculation (PBE) of an optimized crystal structure of CaAl2Tc.

```
4
Lattice="-0.952 -2.583 -4.509 3.976 -3.119 -1.541 -2.651 0.658 4.522" Properties=species:S:1:pos:R:3 pbc="T T T"
Tc -1.046 -2.388 -1.506
Al 1.418 -2.656 -0.022
Al 0.000 0.000 0.000
Ca 1.512 -2.851 -3.025
```

Summary:
Formation enthalpy at 0 K = 173 meV per atom
VASP energy = -19.16 eV for the cell shown

The following is a DFT calculation (PBE) of an optimized crystal structure of CaAlTc.

```
3
Lattice="-0.223 1.589 -4.456 -3.191 -3.131 1.560 -1.727 2.193 0.868" Properties=species:S:1:pos:R:3 pbc="T T T"
Ca -1.817 0.783 -2.147
Tc -3.508 0.100 0.211
Al -1.544 1.961 0.776
```

Summary:
Formation enthalpy at 0 K = 253 meV per atom
VASP energy = -15.35 eV for the cell shown

The following is a DFT calculation (PBE) of an optimized crystal structure of CaAl2Tc.

```
4
Lattice="4.876 -0.043 0.000 1.121 4.745 0.000 -2.998 -2.351 3.043" Properties=species:S:1:pos:R:3 pbc="T T T"
Al 2.998 2.351 0.000
Al 0.000 0.000 0.000
Ca 0.560 2.373 1.521
Tc 2.438 -0.022 1.521
```

Summary:
Formation enthalpy at 0 K = -22 meV per atom
VASP energy = -19.94 eV for the cell shown

The following is a DFT calculation (PBE) of an optimized crystal structure of Ca2AlTcTe.

```
5
Lattice="5.722 0.000 0.000 0.000 5.338 0.000 0.000 0.000 5.722" Properties=species:S:1:pos:R:3 pbc="T T T"
Tc 2.861 2.669 2.861
Ca 2.861 0.000 0.000
Ca 0.000 0.000 2.861
Al 0.000 2.669 0.000
Te 0.000 0.000 0.000
```

Summary:
Formation energy without anion corrections = 824 meV per atom
VASP energy = -17.13 eV for the cell shown

The following is a DFT calculation (PBE) of an optimized crystal structure of Ca2AlTlTc.

```
5
Lattice="-3.175 -3.161 3.111 -0.267 -3.286 -3.613 4.425 -2.515 1.960" Properties=species:S:1:pos:R:3 pbc="T T T"
Al -0.134 -1.643 -1.806
Ca -1.587 -1.581 1.555
Ca 2.213 -1.257 0.980
Tl 0.492 -4.481 0.729
Tc 0.000 0.000 0.000
```

Summary:
Formation enthalpy at 0 K = 300 meV per atom
VASP energy = -18.98 eV for the cell shown

The following is a DFT calculation (PBE) of an optimized crystal structure of CaAl2ZnTc.

```
5
Lattice="-4.392 0.137 1.797 1.574 -2.011 4.002 0.909 4.455 1.882" Properties=species:S:1:pos:R:3 pbc="T T T"
Ca -0.955 1.291 3.840
Al 0.787 -1.006 2.001
Al -2.196 0.068 0.898
Tc 0.000 0.000 0.000
Zn 0.454 2.228 0.941
```

Summary:
Formation enthalpy at 0 K = -110 meV per atom
VASP energy = -21.68 eV for the cell shown

The following is a DFT calculation (PBE) of an optimized crystal structure of CaZrAlTc2.

```
5
Lattice="-3.124 -1.459 -3.427 0.691 -5.009 1.502 -3.669 0.440 3.157" Properties=species:S:1:pos:R:3 pbc="T T T"
Tc -1.562 -0.729 -1.713
Tc -1.835 0.220 1.579
Zr 0.000 0.000 0.000
Ca -3.051 -3.014 0.616
Al 0.346 -2.505 0.751
```

Summary:
Formation enthalpy at 0 K = 1054 meV per atom
VASP energy = -29.75 eV for the cell shown

The following is a DFT calculation (PBE) of an optimized crystal structure of CaAlTe3.

```
5
Lattice="5.407 0.000 0.000 0.000 5.407 0.000 0.000 0.000 5.407" Properties=species:S:1:pos:R:3 pbc="T T T"
Te 2.703 0.000 0.000
Te 0.000 0.000 2.703
Te 0.000 2.703 0.000
Ca 2.703 2.703 2.703
Al 0.000 0.000 0.000
```

Summary:
Formation energy without anion corrections = -412 meV per atom
VASP energy = -17.23 eV for the cell shown

The following is a DFT calculation (PBE) of an optimized crystal structure of Ca2Al2Te.

```
10
Lattice="7.680 0.000 0.000 0.000 7.680 0.000 0.000 0.000 4.575" Properties=species:S:1:pos:R:3 pbc="T T T"
Ca 6.362 2.522 2.288
Ca 5.158 6.362 2.288
Ca 1.318 5.158 2.288
Ca 2.522 1.318 2.288
Al 2.919 6.759 0.000
Al 4.761 0.921 0.000
Al 6.759 4.761 0.000
Al 0.921 2.919 0.000
Te 3.840 3.840 0.000
Te 0.000 0.000 0.000
```

Summary:
Formation energy without anion corrections = -359 meV per atom
VASP energy = -32.85 eV for the cell shown

The following is a DFT calculation (PBE) of an optimized crystal structure of Ca2Al2Te.

```
5
Lattice="5.071 0.000 0.000 0.000 5.071 0.000 2.536 2.536 6.043" Properties=species:S:1:pos:R:3 pbc="T T T"
Ca 5.071 2.536 3.022
Ca 2.536 5.071 3.022
Al 2.536 2.536 1.204
Al 5.071 5.071 4.839
Te 0.000 0.000 0.000
```

Summary:
Formation energy without anion corrections = 58 meV per atom
VASP energy = -14.34 eV for the cell shown

The following is a DFT calculation (PBE) of an optimized crystal structure of CaAl2Te4.

```
14
Lattice="6.695 0.008 0.000 -3.273 5.840 0.000 0.000 0.000 11.556" Properties=species:S:1:pos:R:3 pbc="T T T"
Al 4.310 1.417 0.000
Al 4.298 1.397 5.778
Al -0.888 4.431 0.000
Al -0.876 4.452 5.778
Ca 1.711 2.924 8.667
Ca 1.711 2.924 2.889
Te 1.653 1.135 0.000
Te -1.637 2.920 9.507
Te 1.769 4.713 0.000
Te 3.348 0.004 3.729
Te 0.180 1.997 5.778
Te -1.637 2.920 2.050
Te 3.348 0.004 7.828
Te 3.242 3.851 5.778
```

Summary:
Formation energy without anion corrections = -780 meV per atom
VASP energy = -55.03 eV for the cell shown

The following is a DFT calculation (PBE) of an optimized crystal structure of CaAlTe4.

```
6
Lattice="0.000 4.546 4.546 4.546 0.000 4.546 4.546 4.546 0.000" Properties=species:S:1:pos:R:3 pbc="T T T"
Te 3.408 3.408 3.408
Te 3.408 5.683 5.683
Te 5.683 3.408 5.683
Te 5.683 5.683 3.408
Al 6.818 6.818 6.818
Ca 0.000 0.000 0.000
```

Summary:
Formation energy without anion corrections = 71 meV per atom
VASP energy = -17.89 eV for the cell shown

The following is a DFT calculation (PBE) of an optimized crystal structure of Ca4AlTe2.

```
7
Lattice="-5.062 -0.325 2.280 1.733 -4.165 3.253 0.589 3.208 8.548" Properties=species:S:1:pos:R:3 pbc="T T T"
Te -1.051 -0.761 4.341
Te -1.689 -0.522 9.741
Ca -2.526 -2.547 7.594
Ca -2.531 -0.163 1.140
Ca 0.867 -2.083 1.626
Ca -0.214 1.264 6.487
Al 0.000 0.000 0.000
```

Summary:
Formation energy without anion corrections = -612 meV per atom
VASP energy = -22.32 eV for the cell shown

The following is a DFT calculation (PBE) of an optimized crystal structure of Ca3AlTe.

```
5
Lattice="5.724 0.000 0.000 0.000 5.724 0.000 0.000 0.000 5.724" Properties=species:S:1:pos:R:3 pbc="T T T"
Al 0.000 0.000 0.000
Te 2.862 2.862 2.862
Ca 2.862 0.000 0.000
Ca 0.000 2.862 0.000
Ca 0.000 0.000 2.862
```

Summary:
Formation energy without anion corrections = -271 meV per atom
VASP energy = -14.25 eV for the cell shown

Number 1: size of the total moment 1.75 μB per formula unit, calculated volume 93.63 Å³/cell. Number 2: size of the total moment 0.64 μB per formula unit, calculated volume 68.00 Å³/cell. Number 3: size of the total moment 0.00 μB per formula unit, calculated volume 68.63 Å³/cell. Number 4: size of the total moment 0.00 μB per formula unit, calculated volume 102.58 Å³/cell. Number 5: size of the total moment 0.00 μB per formula unit, calculated volume 71.00 Å³/cell. Number 6: size of the total moment 2.74 μB per formula unit, calculated volume 97.80 Å³/cell. Number 7: size of the total moment 1.01 μB per formula unit, calculated volume 73.82 Å³/cell. Number 8: size of the total moment 0.00 μB per formula unit, calculated volume 56.78 Å³/cell. Number 9: size of the total moment 0.01 μB per formula unit, calculated volume 70.54 Å³/cell. Number 10: size of the total moment 2.93 μB per formula unit, calculated volume 174.74 Å³/cell. Number 11: size of the total moment 0.80 μB per formula unit, calculated volume 145.50 Å³/cell. Number 12: size of the total moment 0.00 μB per formula unit, calculated volume 110.91 Å³/cell. Number 13: size of the total moment 2.32 μB per formula unit, calculated volume 124.64 Å³/cell. Number 14: size of the total moment 0.00 μB per formula unit, calculated volume 158.04 Å³/cell. Number 15: size of the total moment 0.00 μB per formula unit, calculated volume 269.87 Å³/cell. Number 16: size of the total moment 0.00 μB per formula unit, calculated volume 155.43 Å³/cell. Number 17: size of the total moment 0.00 μB per formula unit, calculated volume 452.17 Å³/cell. Number 18: size of the total moment 0.00 μB per formula unit, calculated volume 187.84 Å³/cell. Number 19: size of the total moment 0.00 μB per formula unit, calculated volume 255.53 Å³/cell. Number 20: size of the total moment 0.00 μB per formula unit, calculated volume 187.54 Å³/cell.